VASP calculation (GGA-PBE) on an optimized crystal structure of MnCd2ReB.

a = 5.2221 Å, b = 5.2221 Å, c = 4.0359 Å
α = 90.00°, β = 90.00°, γ = 90.00°
Closest atoms and distances in Å follow each position.
Space group P4/mmm (No. 123)
Asymmetric unit:
Mn: 0.0000 0.0000 0.0000 [1 per cell]  8 Cd 3.30, 4 B 3.69
Cd: 0.0000 0.5000 0.5000 [2 per cell]  2 Re 2.61
Re: 0.5000 0.5000 0.5000 [1 per cell]  2 B 2.02
B: 0.5000 0.5000 0.0000 [1 per cell]  2 Re 2.02

- density of states at the Fermi level (states/eV/atom) = 0.73
- total DFT energy (no corrections) (eV for the cell shown) = -23.90
- crystal system = tetragonal



VASP calculation (GGA-PBE) on an optimized crystal structure of BePbS2N.

a = 5.2384 Å, b = 5.2384 Å, c = 4.2348 Å
α = 90.00°, β = 90.00°, γ = 90.00°
Closest atoms and distances in Å follow each position.
Space group P4/mmm (No. 123)
Asymmetric unit:
Be: 0.0000 0.0000 0.0000 [1 per cell]  8 S 3.37, 4 N 3.70
Pb: 0.5000 0.5000 0.5000 [1 per cell]  2 N 2.12
S: 0.0000 0.5000 0.5000 [2 per cell]  2 Pb 2.62
N: 0.5000 0.5000 0.0000 [1 per cell]  2 Pb 2.12

- density of states at the Fermi level (states/eV/atom) = 0.42
- total DFT energy (no corrections) (eV for the cell shown) = -16.27
- energy relative to the lowest polymorph listed for this composition (eV per formula unit) = 5.596
- uncorrected formation energy (eV/atom) = 1.55
- crystal system = tetragonal



VASP calculation (GGA-PBE) on an optimized crystal structure of SrTi2Rh2.

a = 7.8810 Å, b = 7.8810 Å, c = 2.9320 Å
α = 90.00°, β = 90.00°, γ = 90.00°
Closest atoms and distances in Å follow each position.
Space group P4/mbm (No. 127)
Asymmetric unit:
Sr: 0.0000 0.0000 0.0000 [2 per cell]  2 Sr 2.93, 4 Ti 3.06
Ti: 0.1359 0.3641 0.0000 [4 per cell]  6 Rh 2.68-2.81, 2 Ti 2.93
Rh: 0.1491 0.6491 0.5000 [4 per cell]  6 Ti 2.68-2.81, 2 Rh 2.93

- density of states at the Fermi level (states/eV/atom) = 0.95
- total DFT energy (no corrections) (eV for the cell shown) = -67.73
- energy relative to the lowest polymorph listed for this composition (eV per formula unit) = 0.000
- crystal system = tetragonal



VASP calculation (GGA-PBE) on an optimized crystal structure of Zr5Te4P2.

a = 3.8391 Å, b = 3.8391 Å, c = 62.4541 Å
α = 90.00°, β = 90.00°, γ = 120.00°
Closest atoms and distances in Å follow each position.
Space group R-3m (No. 166, hexagonal axes)
Asymmetric unit:
Zr: 0.0000 0.0000 0.0000 [3 per cell]  6 Te 2.94
Zr: 0.0000 0.0000 0.0636 [6 per cell]  3 P 2.60
Zr: 0.0000 0.0000 0.4410 [6 per cell]  3 P 2.62, 3 Te 2.93
Te: 0.0000 0.0000 0.1384 [6 per cell]  3 Zr 2.93
Te: 0.0000 0.0000 0.3641 [6 per cell]  6 Zr 2.94-3.02
P: 0.0000 0.0000 0.2481 [6 per cell]  6 Zr 2.60-2.62

- density of states at the Fermi level (states/eV/atom) = 0.48
- total DFT energy (no corrections) (eV for the cell shown) = -234.51
- uncorrected formation energy (eV/atom) = -1.09
- crystal system = trigonal



VASP calculation (GGA-PBE) on an optimized crystal structure of InCuC2O.

a = 4.1065 Å, b = 4.1065 Å, c = 3.5964 Å
α = 90.00°, β = 90.00°, γ = 90.00°
Closest atoms and distances in Å follow each position.
Space group P4/mmm (No. 123)
Asymmetric unit:
In: 0.0000 0.0000 0.0000 [1 per cell]  8 C 2.73, 4 Cu 2.90
Cu: 0.5000 0.5000 0.0000 [1 per cell]  2 O 1.80
C: 0.0000 0.5000 0.5000 [2 per cell]  2 O 2.05
O: 0.5000 0.5000 0.5000 [1 per cell]  2 Cu 1.80

- density of states at the Fermi level (states/eV/atom) = 0.16
- total DFT energy (no corrections) (eV for the cell shown) = -20.77
- uncorrected formation energy (eV/atom) = 1.89
- crystal system = tetragonal



VASP calculation (GGA-PBE) on an optimized crystal structure of TaBiCSe2.

a = 4.4139 Å, b = 4.4139 Å, c = 4.7854 Å
α = 90.00°, β = 90.00°, γ = 90.00°
Closest atoms and distances in Å follow each position.
Space group P4/mmm (No. 123)
Asymmetric unit:
Ta: 0.0000 0.0000 0.0000 [1 per cell]  4 Bi 3.12, 8 Se 3.26
Bi: 0.5000 0.5000 0.0000 [1 per cell]  2 C 2.39
C: 0.5000 0.5000 0.5000 [1 per cell]  4 Se 2.21, 2 Bi 2.39
Se: 0.0000 0.5000 0.5000 [2 per cell]  2 C 2.21

- density of states at the Fermi level (states/eV/atom) = 0.79
- total DFT energy (no corrections) (eV for the cell shown) = -25.42
- uncorrected formation energy (eV/atom) = 1.30
- crystal system = tetragonal



VASP calculation (GGA-PBE) on an optimized crystal structure of Mg3Rh.

a = 3.1893 Å, b = 4.6001 Å, c = 4.8705 Å
α = 90.00°, β = 90.00°, γ = 90.00°
Closest atoms and distances in Å follow each position.
Space group Pmm2 (No. 25)
Asymmetric unit:
Mg: 0.0000 0.0000 0.0000 [1 per cell]  6 Mg 2.79-3.04, 4 Rh 2.86
Mg: 0.0000 0.5000 0.3852 [1 per cell]  4 Rh 2.88-2.94, 8 Mg 2.89-3.19
Mg: 0.5000 0.0000 0.5304 [1 per cell]  8 Mg 2.79-3.04, 2 Rh 2.86
Rh: 0.5000 0.5000 0.8788 [1 per cell]  10 Mg 2.86-2.94, 2 Rh 3.19

- density of states at the Fermi level (states/eV/atom) = 0.48
- total DFT energy (no corrections) (eV for the cell shown) = -13.00
- crystal system = orthorhombic



VASP calculation (GGA-PBE) on an optimized crystal structure of Sr3Ag5.

a = 9.9715 Å, b = 9.9715 Å, c = 5.3884 Å
α = 90.00°, β = 90.00°, γ = 120.00°
Closest atoms and distances in Å follow each position.
Space group P6_3/mcm (No. 193)
Asymmetric unit:
Sr: 0.0000 0.3654 0.2500 [6 per cell]  8 Ag 3.16-3.45
Ag: 0.0000 0.1668 0.7500 [6 per cell]  6 Ag 2.88-3.17, 2 Sr 3.16
Ag: 0.3333 0.6667 0.0000 [4 per cell]  2 Ag 2.69

- density of states at the Fermi level (states/eV/atom) = 0.32
- total DFT energy (no corrections) (eV for the cell shown) = -40.86
- energy relative to the lowest polymorph listed for this composition (eV per formula unit) = 0.139
- crystal system = hexagonal



Which of these has the highest density of states at the Fermi level?
SrTi2Rh2